Record 1
An optimized crystal structure of Er3Tm2Zr, computed with PBE.

Cell lengths 3.348, 8.677, 12.707 Å; angles 77.83, 82.43, 78.88 degrees
Atoms (fractional coordinates):
Tm: 0.179 0.520 0.123
Tm: 0.649 0.170 0.531
Tm: 0.821 0.480 0.877
Tm: 0.351 0.830 0.469
Er: 0.401 0.171 0.028
Er: 0.965 0.849 0.220
Er: 0.599 0.829 0.972
Er: 0.035 0.151 0.780
Er: 0.253 0.196 0.298
Er: 0.747 0.804 0.702
Zr: 0.434 0.485 0.647
Zr: 0.566 0.515 0.353

Output
Electronic total energy   -5.0261 eV per atom
Total magnetization   0.0 μB per formula unit
Formation energy   0.1705 eV/atom
Relative energy among the computed polymorphs   114.3 meV/atom
Symmetry   C2/m

=====

Record 2
An optimized crystal structure of Er2Tm5Zr, computed with PBE.

Cell lengths 5.429, 6.425, 15.063 Å; angles 90.00, 90.00, 114.99 degrees
Atoms (fractional coordinates):
Tm: 0.621 0.243 0.551
Tm: 0.537 0.074 0.250
Tm: 0.081 0.161 0.400
Tm: 0.463 0.926 0.750
Tm: 0.919 0.839 0.600
Tm: 0.081 0.161 0.100
Tm: 0.379 0.757 0.051
Tm: 0.621 0.243 0.949
Tm: 0.919 0.839 0.900
Tm: 0.379 0.757 0.449
Er: 0.779 0.559 0.366
Er: 0.221 0.441 0.634
Er: 0.221 0.441 0.866
Er: 0.779 0.559 0.134
Zr: 0.272 0.544 0.250
Zr: 0.728 0.456 0.750

Output
Electronic total energy   -4.8695 eV per atom
Total magnetization   0.0 μB per formula unit
Formation energy   0.1344 eV/atom
Symmetry   Cmcm

=====

Record 3
An optimized crystal structure of Er10Tm4Zr, computed with PBE.

Cell lengths 7.619, 8.695, 8.695 Å; angles 78.93, 64.02, 64.02 degrees
Atoms (fractional coordinates):
Er: 0.712 0.208 0.792
Er: 0.250 0.500 0.500
Er: 0.921 0.792 0.792
Er: 0.079 0.208 0.208
Er: 0.496 0.792 0.792
Er: 0.504 0.208 0.208
Er: 0.288 0.792 0.208
Er: 0.288 0.208 0.792
Er: 0.750 0.500 0.500
Er: 0.712 0.792 0.208
Tm: 0.771 0.459 0.000
Tm: 0.229 0.000 0.541
Tm: 0.229 0.541 0.000
Tm: 0.771 0.000 0.459
Zr: 0.000 0.000 0.000

Output
Electronic total energy   -4.5630 eV per atom
Total magnetization   0.0 μB per formula unit
Formation energy   0.2412 eV/atom
Symmetry   I4/mmm

=====

Record 4
An optimized crystal structure of Er3Tm12Zr, computed with PBE.

Cell lengths 4.910, 4.910, 19.587 Å; angles 90.00, 90.00, 90.00 degrees
Atoms (fractional coordinates):
Tm: 0.000 0.500 0.882
Tm: 0.500 0.000 0.118
Tm: 0.000 0.500 0.627
Tm: 0.500 0.500 0.000
Tm: 0.500 0.500 0.248
Tm: 0.500 0.500 0.500
Tm: 0.500 0.000 0.882
Tm: 0.000 0.500 0.118
Tm: 0.500 0.000 0.627
Tm: 0.500 0.000 0.373
Tm: 0.000 0.500 0.373
Tm: 0.500 0.500 0.752
Er: 0.000 0.000 0.752
Er: 0.000 0.000 0.248
Er: 0.000 0.000 0.500
Zr: 0.000 0.000 0.000

Output
Electronic total energy   -4.7071 eV per atom
Total magnetization   0.0 μB per formula unit
Formation energy   0.0364 eV/atom
Symmetry   P4/mmm